Record 1
DFT (PBE) results for a relaxed RbURuS3 crystal.

```
RbURuS3
1.0
3.895 0.000 0.000
0.000 9.079 0.486
0.000 -3.858 8.634
U S Ru Rb
2 6 2 2
direct
0.750 0.324 0.842
0.250 0.676 0.158
0.250 0.539 0.849
0.750 0.871 0.142
0.250 0.805 0.462
0.750 0.195 0.538
0.250 0.129 0.858
0.750 0.461 0.151
0.750 0.916 0.405
0.250 0.084 0.595
0.750 0.797 0.758
0.250 0.203 0.242
```

Output
- crystal system = monoclinic
- total magnetic moment (μB per cell) = 3.82
- total DFT energy (no corrections) (eV per atom) = -6.7082
- DOS at the Fermi energy (states/eV per cell) = 11.78
- formation energy from raw total energies (eV/atom) = -1.056

Record 2
DFT (PBE) results for a relaxed RbZrRuS3 crystal.

```
RbZrRuS3
1.0
-3.700 -0.068 0.365
-0.016 -8.679 -1.780
0.887 1.920 9.363
S Ru Rb Zr
6 2 2 2
direct
0.250 0.799 0.460
0.750 0.873 0.134
0.250 0.534 0.858
0.250 0.127 0.866
0.750 0.466 0.142
0.750 0.201 0.540
0.250 0.089 0.605
0.750 0.911 0.395
0.750 0.783 0.759
0.250 0.217 0.241
0.750 0.317 0.842
0.250 0.683 0.158
```

Output
- crystal system = monoclinic
- total magnetic moment (μB per cell) = 0.00
- total DFT energy (no corrections) (eV per atom) = -6.3420
- DOS at the Fermi energy (states/eV per cell) = 5.12
- formation energy from raw total energies (eV/atom) = -1.146

Record 3
DFT (PBE) results for a relaxed Rb2SbRu2 crystal.

```
Rb2SbRu2
1.0
-0.881 -0.624 -4.227
-2.032 -3.735 0.974
-7.828 1.492 -0.840
Rb Ru Sb
2 2 1
direct
0.250 0.750 0.500
0.750 0.250 0.500
0.576 0.576 0.848
0.424 0.424 0.152
0.000 0.000 0.000
```

Output
- crystal system = tetragonal
- total magnetic moment (μB per cell) = 3.78
- total DFT energy (no corrections) (eV per atom) = -3.5253
- DOS at the Fermi energy (states/eV per cell) = 3.66
- excess energy over the best structure of this formula in the dataset (eV/atom) = 0.308
- formation energy from raw total energies (eV/atom) = 1.397

Record 4
DFT (PBE) results for a relaxed RbSbRu2 crystal.

```
RbSbRu2
1.0
4.994 0.000 0.000
0.000 4.994 0.000
2.497 2.497 9.246
Ru Sb Rb
4 2 2
direct
0.375 0.141 0.750
0.875 0.109 0.750
0.859 0.125 0.250
0.891 0.625 0.250
0.750 0.250 0.500
0.000 0.000 0.000
0.250 0.750 0.500
0.500 0.500 0.000
```

Output
- crystal system = tetragonal
- total magnetic moment (μB per cell) = 1.68
- total DFT energy (no corrections) (eV per atom) = -5.1261
- DOS at the Fermi energy (states/eV per cell) = 8.51
- formation energy from raw total energies (eV/atom) = 0.784

Record 5
DFT (PBE) results for a relaxed Rb2SbRu2 crystal.

```
Rb2SbRu2
1.0
-5.785 -2.217 8.087
5.633 -8.305 1.753
1.793 1.578 1.715
Ru Rb Sb
4 4 2
direct
0.425 0.925 0.000
0.075 0.425 0.000
0.925 0.575 0.000
0.575 0.075 0.000
0.705 0.795 0.500
0.295 0.205 0.500
0.795 0.295 0.500
0.205 0.705 0.500
0.500 0.500 0.000
0.000 0.000 0.000
```

Output
- crystal system = tetragonal
- total magnetic moment (μB per cell) = 0.00
- total DFT energy (no corrections) (eV per atom) = -3.8330
- DOS at the Fermi energy (states/eV per cell) = 10.67
- excess energy over the best structure of this formula in the dataset (eV/atom) = 0.000
- formation energy from raw total energies (eV/atom) = 1.089

Record 6
DFT (PBE) results for a relaxed RbSb2Ru crystal.

```
RbSb2Ru
1.0
2.574 -3.603 -2.523
1.307 -4.323 2.360
-2.297 -4.376 -1.242
Sb Rb Ru
2 1 1
direct
0.750 0.750 0.750
0.250 0.250 0.250
0.000 0.000 0.000
0.500 0.500 0.500
```

Output
- crystal system = cubic
- total magnetic moment (μB per cell) = 0.00
- total DFT energy (no corrections) (eV per atom) = -4.1094
- DOS at the Fermi energy (states/eV per cell) = 2.44
- excess energy over the best structure of this formula in the dataset (eV/atom) = 0.615
- formation energy from raw total energies (eV/atom) = 0.513

Record 7
DFT (PBE) results for a relaxed Rb2SbRu crystal.

```
Rb2SbRu
1.0
-11.400 -3.764 -5.666
-5.286 -2.057 12.003
-9.156 -0.525 3.219
Ru Rb Sb
2 4 2
direct
0.500 0.500 0.000
0.250 0.750 0.500
0.383 0.125 0.250
0.875 0.633 0.750
0.367 0.625 0.250
0.375 0.617 0.750
0.750 0.250 0.500
0.000 0.000 0.000
```

Output
- crystal system = tetragonal
- total magnetic moment (μB per cell) = 1.58
- total DFT energy (no corrections) (eV per atom) = -3.4694
- DOS at the Fermi energy (states/eV per cell) = 8.91
- formation energy from raw total energies (eV/atom) = 0.364

Record 8
DFT (PBE) results for a relaxed RbSbRu3 crystal.

```
RbSbRu3
1.0
4.827 0.000 0.000
0.000 4.827 0.000
0.000 0.000 4.827
Ru Sb Rb
3 1 1
direct
0.000 0.000 0.500
0.000 0.500 0.000
0.500 0.000 0.000
0.500 0.500 0.500
0.000 0.000 0.000
```

Output
- crystal system = cubic
- total magnetic moment (μB per cell) = 3.66
- total DFT energy (no corrections) (eV per atom) = -3.7881
- DOS at the Fermi energy (states/eV per cell) = 8.94
- excess energy over the best structure of this formula in the dataset (eV/atom) = 1.370
- formation energy from raw total energies (eV/atom) = 2.795

Q: What is the DOS at the Fermi energy in the sixth record?
A: 2.44 states/eV per cell